Entry from Alexandria via LeMat-Bulk: a relaxed structure of TlFeTc2 (PBE).

The energy above the lowest structure with this stoichiometry comes out at 0.292 eV/atom. As for the total magnetic moment: 2.57 μB per formula unit. As for the energy of formation from the pure elements: 0.7116 eV per atom.

The space group is Cmmm (No. 65) and the conventional cell measures 5.367, 7.937 and 2.993 Å, with angles of 90.00, 90.00 and 90.00 degrees. The distinct sites, in fractional coordinates, are Tl at (0.000, 0.000, 0.000), Fe at (0.000, 0.500, 0.000) and Tc at (0.250, 0.250, 0.500).